[1]
Entry from Alexandria via LeMat-Bulk: a relaxed Pm4Sc5 crystal (PBE-GGA).

Calculated values
- E_form: 64 meV per atom
- N(E_F): 15.3 states/eV/f.u.

Structure (CIF):
```
data_Pm4Sc5
_space_group_name_H-M_alt 'I 4/m m m'
_space_group_IT_number 139
_space_group_name_Hall '-I 4 2'
_cell_length_a 10.2635
_cell_length_b 10.2635
_cell_length_c 4.8921
_cell_angle_alpha 90.00
_cell_angle_beta 90.00
_cell_angle_gamma 90.00
loop_
_atom_site_label
_atom_site_fract_x
_atom_site_fract_y
_atom_site_fract_z
Pm1 0.0000 0.3245 0.0000
Sc1 0.0000 0.0000 0.0000
Sc2 0.1623 0.1623 0.5000
```

***

[2]
Entry from Alexandria via LeMat-Bulk: a relaxed FeBPb2 crystal (PBE-GGA).

Calculated values
- E_form: 1327 meV per atom
- N(E_F): 8.2 states/eV/f.u.

Structure (CIF):
```
data_FeBPb2
_space_group_name_H-M_alt 'I -4 2 d'
_space_group_IT_number 122
_space_group_name_Hall 'I -4 2bw'
_cell_length_a 6.7686
_cell_length_b 6.7686
_cell_length_c 6.9086
_cell_angle_alpha 90.00
_cell_angle_beta 90.00
_cell_angle_gamma 90.00
loop_
_atom_site_label
_atom_site_fract_x
_atom_site_fract_y
_atom_site_fract_z
Fe1 0.0000 0.0000 0.0000
B1 0.0000 0.0000 0.5000
Pb1 0.2197 0.2500 0.6250
```

***

[3]
Entry from Alexandria via LeMat-Bulk: a relaxed MnTlInS3 crystal (PBE-GGA).

Calculated values
- Raw formation energy: -0.481 eV per atom
- N(E_F): 0.4 states/eV/f.u.

Structure (CIF):
```
data_MnTlInS3
_space_group_name_H-M_alt 'P 1 21/m 1'
_space_group_IT_number 11
_cell_length_a 8.8157
_cell_length_b 3.8455
_cell_length_c 9.6862
_cell_angle_alpha 90.00
_cell_angle_beta 103.86
_cell_angle_gamma 90.00
loop_
_space_group_symop_operation_xyz
'x,y,z'
'-x,-y,-z'
'-x,y+1/2,-z'
'x,-y+1/2,z'
loop_
_atom_site_label
_atom_site_fract_x
_atom_site_fract_y
_atom_site_fract_z
Mn1 0.0961 0.2500 0.1114
Tl1 0.2032 0.2500 0.7432
In1 0.3441 0.7500 0.3909
S1 0.1385 0.2500 0.3638
S2 0.1889 0.7500 0.0057
S3 0.4681 0.7500 0.6610
```

***

[4]
Entry from Alexandria via LeMat-Bulk: a relaxed CeTiVGe2 crystal (PBE-GGA).

Calculated values
- E_form: -571 meV per atom
- N(E_F): 5.7 states/eV/f.u.

Structure (CIF):
```
data_CeTiVGe2
_space_group_name_H-M_alt 'I -4 m 2'
_space_group_IT_number 119
_space_group_name_Hall 'I -4 -2'
_cell_length_a 4.0053
_cell_length_b 4.0053
_cell_length_c 11.7287
_cell_angle_alpha 90.00
_cell_angle_beta 90.00
_cell_angle_gamma 90.00
loop_
_atom_site_label
_atom_site_fract_x
_atom_site_fract_y
_atom_site_fract_z
Ce1 0.0000 0.0000 0.0000
Ti1 0.0000 0.5000 0.7500
V1 0.0000 0.5000 0.2500
Ge1 0.0000 0.0000 0.3905
```

***

[5]
Entry from Alexandria via LeMat-Bulk: a relaxed DyTm2Cd6 crystal (PBE-GGA).

Calculated values
- E_form: -297 meV per atom
- N(E_F): 6.7 states/eV/f.u.

Structure (CIF):
```
data_DyTm2Cd6
_space_group_name_H-M_alt 'P 6/m m m'
_space_group_IT_number 191
_space_group_name_Hall '-P 6 2'
_cell_length_a 8.5829
_cell_length_b 8.5829
_cell_length_c 3.3967
_cell_angle_alpha 90.00
_cell_angle_beta 90.00
_cell_angle_gamma 120.00
loop_
_atom_site_label
_atom_site_fract_x
_atom_site_fract_y
_atom_site_fract_z
Dy1 0.0000 0.0000 0.0000
Tm1 0.3333 0.6667 0.0000
Cd1 0.0000 0.3343 0.5000
```

***

[6]
Entry from Alexandria via LeMat-Bulk: a relaxed MnTeP2Cl crystal (PBE-GGA).

Calculated values
- Raw formation energy: 1.030 eV per atom
- N(E_F): 3.6 states/eV/f.u.
- Polymorph energy (0 for the lowest one): 692 meV per atom

Structure (CIF):
```
data_MnTeP2Cl
_space_group_name_H-M_alt 'P 4/m m m'
_space_group_IT_number 123
_space_group_name_Hall '-P 4 2'
_cell_length_a 5.0847
_cell_length_b 5.0847
_cell_length_c 5.1392
_cell_angle_alpha 90.00
_cell_angle_beta 90.00
_cell_angle_gamma 90.00
loop_
_atom_site_label
_atom_site_fract_x
_atom_site_fract_y
_atom_site_fract_z
Mn1 0.0000 0.0000 0.0000
Te1 0.5000 0.5000 0.5000
P1 0.0000 0.5000 0.5000
Cl1 0.5000 0.5000 0.0000
```

***

[7]
Entry from Alexandria via LeMat-Bulk: a relaxed ThPaCu4 crystal (PBE-GGA).

Calculated values
- E_form: 1 meV per atom
- N(E_F): 7.2 states/eV/f.u.
- Polymorph energy (0 for the lowest one): 5 meV per atom

Structure (CIF):
```
data_ThPaCu4
_space_group_name_H-M_alt 'I -4 m 2'
_space_group_IT_number 119
_space_group_name_Hall 'I -4 -2'
_cell_length_a 3.8722
_cell_length_b 3.8722
_cell_length_c 15.4104
_cell_angle_alpha 90.00
_cell_angle_beta 90.00
_cell_angle_gamma 90.00
loop_
_atom_site_label
_atom_site_fract_x
_atom_site_fract_y
_atom_site_fract_z
Th1 0.0000 0.0000 0.0000
Pa1 0.0000 0.5000 0.2500
Cu1 0.0000 0.0000 0.4189
Cu2 0.0000 0.5000 0.6722
```

***

[8]
Entry from Alexandria via LeMat-Bulk: a relaxed GdDyYTm crystal (PBE-GGA).

Calculated values
- E_form: 117 meV per atom
- N(E_F): 8.6 states/eV/f.u.
- Polymorph energy (0 for the lowest one): 0 meV per atom

Structure (CIF):
```
data_GdDyYTm
_space_group_name_H-M_alt 'F -4 3 m'
_space_group_IT_number 216
_space_group_name_Hall 'F -4 2 3'
_cell_length_a 7.9980
_cell_length_b 7.9980
_cell_length_c 7.9980
_cell_angle_alpha 90.00
_cell_angle_beta 90.00
_cell_angle_gamma 90.00
loop_
_atom_site_label
_atom_site_fract_x
_atom_site_fract_y
_atom_site_fract_z
Gd1 0.0000 0.0000 0.0000
Dy1 0.0000 0.0000 0.5000
Y1 0.2500 0.2500 0.2500
Tm1 0.2500 0.2500 0.7500
```

***

[9]
Entry from Alexandria via LeMat-Bulk: a relaxed Ga6CuAg crystal (PBE-GGA).

Calculated values
- E_form: 61 meV per atom
- N(E_F): 2.7 states/eV/f.u.

Structure (CIF):
```
data_Ga6CuAg
_space_group_name_H-M_alt 'C 1 2/m 1'
_space_group_IT_number 12
_cell_length_a 5.8304
_cell_length_b 10.1031
_cell_length_c 5.4969
_cell_angle_alpha 90.00
_cell_angle_beta 113.72
_cell_angle_gamma 90.00
loop_
_space_group_symop_operation_xyz
'x,y,z'
'-x,-y,-z'
'-x,y,-z'
'x,-y,z'
'x+1/2,y+1/2,z'
'-x+1/2,-y+1/2,-z'
'-x+1/2,y+1/2,-z'
'x+1/2,-y+1/2,z'
loop_
_atom_site_label
_atom_site_fract_x
_atom_site_fract_y
_atom_site_fract_z
Ga1 0.0304 0.0000 0.2629
Ga2 0.0396 0.2726 0.7572
Cu1 0.0000 0.5000 0.5000
Ag1 0.0000 0.5000 0.0000
```

***

[10]
Entry from Alexandria via LeMat-Bulk: a relaxed Dy3Th5N8 crystal (PBE-GGA).

Calculated values
- Raw formation energy: -1.597 eV per atom
- N(E_F): 7.2 states/eV/f.u.

Structure (CIF):
```
data_Dy3Th5N8
_space_group_name_H-M_alt 'R -3 m'
_space_group_IT_number 166
_space_group_name_Hall '-R 3 2"'
_cell_length_a 7.1955
_cell_length_b 7.1955
_cell_length_c 17.6078
_cell_angle_alpha 90.00
_cell_angle_beta 90.00
_cell_angle_gamma 120.00
loop_
_atom_site_label
_atom_site_fract_x
_atom_site_fract_y
_atom_site_fract_z
Dy1 0.0000 0.5000 0.0000
Th1 0.0000 0.0000 0.0000
Th2 0.0000 0.0000 0.5000
Th3 0.0000 0.5000 0.5000
N1 0.0000 0.0000 0.2511
N2 0.0036 0.5018 0.2518
```

***

[11]
Entry from Alexandria via LeMat-Bulk: a relaxed TaNbTl2O6 crystal (PBE-GGA).

Calculated values
- Raw formation energy: -2.056 eV per atom
- N(E_F): 0.1 states/eV/f.u.

Structure (CIF):
```
data_TaNbTl2O6
_space_group_name_H-M_alt 'F m -3 m'
_space_group_IT_number 225
_space_group_name_Hall '-F 4 2 3'
_cell_length_a 8.1896
_cell_length_b 8.1896
_cell_length_c 8.1896
_cell_angle_alpha 90.00
_cell_angle_beta 90.00
_cell_angle_gamma 90.00
loop_
_atom_site_label
_atom_site_fract_x
_atom_site_fract_y
_atom_site_fract_z
Ta1 0.0000 0.0000 0.0000
Nb1 0.0000 0.0000 0.5000
Tl1 0.2500 0.2500 0.2500
O1 0.0000 0.0000 0.2489
```

***

[12]
Entry from Alexandria via LeMat-Bulk: a relaxed Er2AlRh3 crystal (PBE-GGA).

Calculated values
- E_form: -951 meV per atom
- N(E_F): 2.8 states/eV/f.u.
- Polymorph energy (0 for the lowest one): 0 meV per atom

Structure (CIF):
```
data_Er2AlRh3
_space_group_name_H-M_alt 'R -3 m'
_space_group_IT_number 166
_space_group_name_Hall '-R 3 2"'
_cell_length_a 5.6176
_cell_length_b 5.6176
_cell_length_c 11.7109
_cell_angle_alpha 90.00
_cell_angle_beta 90.00
_cell_angle_gamma 120.00
loop_
_atom_site_label
_atom_site_fract_x
_atom_site_fract_y
_atom_site_fract_z
Er1 0.0000 0.0000 0.1311
Al1 0.0000 0.0000 0.5000
Rh1 0.0000 0.5000 0.0000
```

***

The highest N(E_F) belongs to which entry?
Pm4Sc5